No. 1
Below is crystalline Pr5Dy2Y3 at its relaxed geometry, with properties calculated at the PBE level.

Output
As for the spin magnetization: 0.000 μB per atom. Its offset from the most stable computed form is 0 meV/atom. As for the space-group type: No. 15. The formation energy from the elements comes out at 0.1729 eV per atom.

abc: 9.1958 9.1958 10.1830
angles: 108.24 108.24 107.73
Closest atoms and distances in Å follow each position.
Fractional positions:
Pr1 0.0156 0.9844 0.7500  3 Pr 3.15-3.46, 2 Dy 3.41
Pr2 0.1275 0.3850 0.7616  3 Y 3.43-3.83, 3 Pr 3.45-3.52, 1 Dy 3.77
Pr3 0.2274 0.7726 0.7500  3 Pr 3.15-3.45, 4 Y 3.44-3.51, 2 Dy 3.47
Pr4 0.3850 0.1275 0.2616  3 Y 3.43-3.83, 3 Pr 3.45-3.52, 1 Dy 3.77
Pr5 0.4770 0.5230 0.2500  3 Y 3.07-3.44
Pr6 0.5230 0.4770 0.7500  3 Y 3.07-3.44
Pr7 0.6150 0.8725 0.7384  3 Y 3.43-3.83, 3 Pr 3.45-3.52, 1 Dy 3.77
Pr8 0.7726 0.2274 0.2500  3 Pr 3.15-3.45, 4 Y 3.44-3.51, 2 Dy 3.47
Pr9 0.8725 0.6150 0.2384  3 Y 3.43-3.83, 3 Pr 3.45-3.52, 1 Dy 3.77
Pr10 0.9844 0.0156 0.2500  3 Pr 3.15-3.46, 2 Dy 3.41
Dy1 0.0256 0.2789 0.0606  3 Y 3.30-3.55, 4 Pr 3.41-3.55
Dy2 0.2789 0.0256 0.5606  3 Y 3.30-3.55, 4 Pr 3.41-3.55
Dy3 0.7211 0.9744 0.4394  3 Y 3.30-3.55, 4 Pr 3.41-3.55
Dy4 0.9744 0.7211 0.9394  3 Y 3.30-3.55, 4 Pr 3.41-3.55
Y1 0.2193 0.4683 0.4429  1 Dy 3.30, 5 Pr 3.44-3.55, 1 Y 3.57
Y2 0.2701 0.7299 0.2500  3 Pr 3.07-3.43, 2 Dy 3.42
Y3 0.4683 0.2193 0.9429  1 Dy 3.30, 5 Pr 3.44-3.55, 1 Y 3.57
Y4 0.5317 0.7807 0.0571  1 Dy 3.30, 5 Pr 3.44-3.55, 1 Y 3.57
Y5 0.7299 0.2701 0.7500  3 Pr 3.07-3.43, 2 Dy 3.42
Y6 0.7807 0.5317 0.5571  1 Dy 3.30, 5 Pr 3.44-3.55, 1 Y 3.57

=====

No. 2
Below is crystalline Zr2MoRh at its relaxed geometry, with properties calculated at the PBE level.

Output
As for the spin magnetization: 0.000 μB per atom. As for the space-group type: No. 47. The formation energy from the elements comes out at -0.1692 eV per atom.

abc: 3.4039 4.2973 5.0240
angles: 90.00 90.00 90.00
Closest atoms and distances in Å follow each position.
Fractional positions:
Zr1 0.0000 0.0000 0.0000  4 Rh 2.74, 4 Zr 3.03
Zr2 0.5000 0.0000 0.5000  4 Mo 2.74, 4 Zr 3.03
Mo1 0.0000 0.5000 0.5000  4 Zr 2.74, 4 Rh 3.03
Rh1 0.5000 0.5000 0.0000  4 Zr 2.74, 4 Mo 3.03